i | Density functional theory data (GGA-PBE) for crystalline As2RhW2 at its relaxed geometry.

Structure (POSCAR):
```
As2RhW2
1.0
4.2870 0.0000 0.0000
0.0000 4.2870 0.0000
2.1435 2.1435 4.7829
W Rh As
2 1 2
Direct
0.2500 0.7500 0.5000 W
0.7500 0.2500 0.5000 W
0.0000 0.0000 0.0000 Rh
0.6200 0.6200 0.7600 As
0.3800 0.3800 0.2400 As
```

ii | Density functional theory data (GGA-PBE) for crystalline As2RhW2 at its relaxed geometry.

Structure (POSCAR):
```
As2RhW2
1.0
-1.3772 0.7406 6.8977
-2.2512 -6.6994 0.2698
2.9309 -0.9572 0.6880
As W Rh
4 4 2
Direct
0.3439 0.8439 0.0000 As
0.8439 0.6561 0.0000 As
0.1561 0.3439 0.0000 As
0.6561 0.1561 0.0000 As
0.8600 0.3600 0.5000 W
0.1400 0.6400 0.5000 W
0.6400 0.8600 0.5000 W
0.3600 0.1400 0.5000 W
0.5000 0.5000 0.0000 Rh
0.0000 0.0000 0.0000 Rh
```

Q: Which of them is the least stable? A: i.

i | Density functional theory data (GGA-PBE) for crystalline ZnAs3Rh at its relaxed geometry.

Structure (POSCAR):
```
ZnAs3Rh
1.0
-2.3034 -1.6100 -3.7759
4.0931 -0.5729 -2.2525
0.3109 -4.3858 1.6804
Rh As Zn
1 3 1
Direct
0.5000 0.5000 0.5000 Rh
0.0000 0.5000 0.0000 As
0.0000 0.0000 0.5000 As
0.5000 0.0000 0.0000 As
0.0000 0.0000 0.0000 Zn
```

ii | Density functional theory data (GGA-PBE) for crystalline ZnAs3Rh at its relaxed geometry.

Structure (POSCAR):
```
ZnAs3Rh
1.0
4.8423 0.0000 0.0000
0.0000 4.8423 0.0000
0.0000 0.0000 4.8423
As Rh Zn
3 1 1
Direct
0.0000 0.0000 0.5000 As
0.0000 0.5000 0.0000 As
0.5000 0.0000 0.0000 As
0.0000 0.0000 0.0000 Rh
0.5000 0.5000 0.5000 Zn
```

Q: Which of them is the least stable? A: i.

i | Density functional theory data (GGA-PBE) for crystalline ZnAsRh3 at its relaxed geometry.

Structure (POSCAR):
```
ZnAsRh3
1.0
-1.6301 -4.0728 -1.0745
3.9220 -1.8878 1.2059
-1.5365 -0.4978 4.2180
Rh Zn As
3 1 1
Direct
0.0000 0.0000 0.5000 Rh
0.0000 0.5000 0.0000 Rh
0.5000 0.0000 0.0000 Rh
0.5000 0.5000 0.5000 Zn
0.0000 0.0000 0.0000 As
```

ii | Density functional theory data (GGA-PBE) for crystalline ZnAsRh3 at its relaxed geometry.

Structure (POSCAR):
```
ZnAsRh3
1.0
-2.2364 -3.8917 -0.6207
2.7211 -2.0411 2.9935
-2.8506 1.1047 3.3445
Rh As Zn
3 1 1
Direct
0.0000 0.0000 0.5000 Rh
0.0000 0.5000 0.0000 Rh
0.5000 0.0000 0.0000 Rh
0.5000 0.5000 0.5000 As
0.0000 0.0000 0.0000 Zn
```

Q: Which of them is the least stable? A: ii.

i | Density functional theory data (GGA-PBE) for crystalline Zn2AsRh2 at its relaxed geometry.

Structure (POSCAR):
```
Zn2AsRh2
1.0
6.3513 0.0000 0.0000
0.0000 6.3513 0.0000
0.0000 0.0000 3.8800
As Zn Rh
2 4 4
Direct
0.5000 0.5000 0.0000 As
0.0000 0.0000 0.0000 As
0.1447 0.6447 0.5000 Zn
0.8553 0.3553 0.5000 Zn
0.6447 0.8553 0.5000 Zn
0.3553 0.1447 0.5000 Zn
0.8411 0.6589 0.0000 Rh
0.1589 0.3411 0.0000 Rh
0.3411 0.8411 0.0000 Rh
0.6589 0.1589 0.0000 Rh
```

ii | Density functional theory data (GGA-PBE) for crystalline Zn2AsRh2 at its relaxed geometry.

Structure (POSCAR):
```
Zn2AsRh2
1.0
-4.0557 1.7327 -5.5440
1.2294 -6.3525 -2.8847
-2.4276 -1.1177 1.4266
Rh Zn As
4 4 2
Direct
0.3314 0.1686 0.5000 Rh
0.6686 0.8314 0.5000 Rh
0.8314 0.3314 0.5000 Rh
0.1686 0.6686 0.5000 Rh
0.3720 0.8720 0.0000 Zn
0.1280 0.3720 0.0000 Zn
0.6280 0.1280 0.0000 Zn
0.8720 0.6280 0.0000 Zn
0.0000 0.0000 0.0000 As
0.5000 0.5000 0.0000 As
```

Q: Which of them is the least stable? A: ii.

i | Density functional theory data (GGA-PBE) for crystalline ZrAsRh3 at its relaxed geometry.

Structure (POSCAR):
```
ZrAsRh3
1.0
4.7930 0.0000 0.0000
0.0000 4.7930 0.0000
0.0000 0.0000 4.7930
Rh As Zr
3 1 1
Direct
0.5000 0.0000 0.0000 Rh
0.0000 0.0000 0.5000 Rh
0.0000 0.5000 0.0000 Rh
0.5000 0.5000 0.5000 As
0.0000 0.0000 0.0000 Zr
```

ii | Density functional theory data (GGA-PBE) for crystalline ZrAsRh3 at its relaxed geometry.

Structure (POSCAR):
```
ZrAsRh3
1.0
4.5326 0.0000 0.0000
0.0000 4.5326 0.0000
0.0000 0.0000 4.5326
Rh Zr As
3 1 1
Direct
0.0000 0.5000 0.0000 Rh
0.5000 0.0000 0.0000 Rh
0.0000 0.0000 0.5000 Rh
0.5000 0.5000 0.5000 Zr
0.0000 0.0000 0.0000 As
```

Q: Which of them is the least stable? A: i.

i | Density functional theory data (GGA-PBE) for crystalline As3Ru5 at its relaxed geometry.

Structure (POSCAR):
```
As3Ru5
1.0
-2.9418 -1.5682 -6.4166
6.5849 1.1789 1.8184
-1.2381 -6.0783 3.7343
As Ru
6 10
Direct
0.2167 0.2760 0.9910 As
0.3070 0.1239 0.4927 As
0.7622 0.7092 0.9440 As
0.5963 0.7589 0.4778 As
0.1250 0.6343 0.8434 As
0.7833 0.2940 0.2100 As
0.7144 0.2148 0.5405 Ru
0.3017 0.0391 0.1426 Ru
0.2156 0.7107 0.5401 Ru
0.5049 0.7845 0.1425 Ru
0.7122 0.9926 0.8472 Ru
0.5385 0.2317 0.8626 Ru
0.8384 0.6900 0.2698 Ru
0.9802 0.8449 0.6980 Ru
0.2806 0.4201 0.7105 Ru
0.1164 0.2750 0.2874 Ru
```

ii | Density functional theory data (GGA-PBE) for crystalline As3Ru5 at its relaxed geometry.

Structure (POSCAR):
```
As3Ru5
1.0
3.3901 -4.2771 0.0000
3.3901 4.2771 0.0000
0.0000 0.0000 3.9939
As Ru
3 5
Direct
0.1940 0.8060 0.5000 As
0.5000 0.5000 0.0000 As
0.8060 0.1940 0.5000 As
0.7151 0.7151 0.5000 Ru
0.0000 0.5000 0.0000 Ru
0.2849 0.2849 0.5000 Ru
0.5000 0.0000 0.0000 Ru
0.0000 0.0000 0.0000 Ru
```

Q: Which of them is the least stable? A: ii.

i | Density functional theory data (GGA-PBE) for crystalline As2RuS2 at its relaxed geometry.

Structure (POSCAR):
```
As2RuS2
1.0
3.4451 0.0000 0.0000
0.0000 3.4451 0.0000
1.7226 1.7226 8.6123
As Ru S
2 1 2
Direct
0.2500 0.7500 0.5000 As
0.7500 0.2500 0.5000 As
0.0000 0.0000 0.0000 Ru
0.5616 0.5616 0.8768 S
0.4384 0.4384 0.1232 S
```

ii | Density functional theory data (GGA-PBE) for crystalline As2RuS2 at its relaxed geometry.

Structure (POSCAR):
```
As2RuS2
1.0
-4.3988 -3.4694 2.4015
3.4312 -0.9222 4.9527
-2.0764 4.1651 2.2141
S As Ru
4 4 2
Direct
0.6582 0.1582 0.0000 S
0.3418 0.8418 0.0000 S
0.1582 0.3418 0.0000 S
0.8418 0.6582 0.0000 S
0.6484 0.1484 0.5000 As
0.3516 0.8516 0.5000 As
0.8516 0.6484 0.5000 As
0.1484 0.3516 0.5000 As
0.5000 0.5000 0.0000 Ru
0.0000 0.0000 0.0000 Ru
```

Q: Which of them is the least stable? A: i.

i | Density functional theory data (GGA-PBE) for crystalline SbAsRu2 at its relaxed geometry.

Structure (POSCAR):
```
SbAsRu2
1.0
-5.2717 -2.5063 -8.3661
-6.0647 -4.8645 -6.6045
-7.6038 -2.2395 -6.4211
Sb Ru As
1 2 1
Direct
0.5240 0.5240 0.5240 Sb
0.9973 0.9973 0.9973 Ru
0.2573 0.2573 0.2573 Ru
0.7214 0.7214 0.7214 As
```

ii | Density functional theory data (GGA-PBE) for crystalline SbAsRu2 at its relaxed geometry.

Structure (POSCAR):
```
SbAsRu2
1.0
-4.1831 -0.7811 0.8923
-3.5008 -1.6191 -2.0068
0.1067 -5.1734 1.5205
Ru Sb As
2 1 1
Direct
0.9969 0.9969 0.0226 Ru
0.5031 0.5031 0.4774 Ru
0.7500 0.7500 0.7500 Sb
0.2500 0.2500 0.2500 As
```

iii | Density functional theory data (GGA-PBE) for crystalline SbAsRu2 at its relaxed geometry.

Structure (POSCAR):
```
SbAsRu2
1.0
4.7715 0.0000 0.0000
0.0000 3.1296 -0.0252
0.0000 0.0398 4.5204
Sb Ru As
1 2 1
Direct
0.0000 0.3751 0.4906 Sb
0.5000 0.3746 0.2148 Ru
0.0000 0.8750 0.9986 Ru
0.5000 0.8753 0.7960 As
```

iv | Density functional theory data (GGA-PBE) for crystalline SbAsRu2 at its relaxed geometry.

Structure (POSCAR):
```
SbAsRu2
1.0
4.5416 -0.0271 0.0177
3.3175 3.1018 0.0177
1.1423 0.4469 4.9817
Ru Sb As
2 1 1
Direct
0.9733 0.9733 0.1334 Ru
0.7578 0.7578 0.7409 Ru
0.5025 0.5025 0.5365 Sb
0.2664 0.2664 0.0891 As
```

Q: Which of them is the least stable? A: i.

i | Density functional theory data (GGA-PBE) for crystalline SbAsRu2 at its relaxed geometry.

Structure (POSCAR):
```
SbAsRu2
1.0
3.1101 0.0000 0.0000
0.0000 3.1101 0.0000
0.0000 0.0000 6.6794
Ru As Sb
2 1 1
Direct
0.0000 0.0000 0.5308 Ru
0.0000 0.0000 0.9692 Ru
0.5000 0.5000 0.7500 As
0.5000 0.5000 0.2500 Sb
```

ii | Density functional theory data (GGA-PBE) for crystalline SbAsRu2 at its relaxed geometry.

Structure (POSCAR):
```
SbAsRu2
1.0
3.0923 0.0000 0.0000
0.0000 5.3319 -0.0033
0.0000 3.5693 4.0010
Sb Ru As
1 2 1
Direct
0.5000 0.5000 0.5000 Sb
0.5000 0.5000 0.0000 Ru
0.0000 0.0000 0.0000 Ru
0.0000 0.0000 0.5000 As
```

Q: Which of them is the least stable? A: ii.

i | Density functional theory data (GGA-PBE) for crystalline SbAsRu2 at its relaxed geometry.

Structure (POSCAR):
```
SbAsRu2
1.0
-4.1587 -2.6125 2.8438
3.8410 -2.3673 3.4422
-0.5551 1.9344 6.6280
Ru As Sb
4 2 2
Direct
0.1562 0.6250 0.2500 Ru
0.3750 0.4062 0.7500 Ru
0.8750 0.8438 0.7500 Ru
0.5938 0.1250 0.2500 Ru
0.2500 0.7500 0.5000 As
0.5000 0.5000 0.0000 As
0.0000 0.0000 0.0000 Sb
0.7500 0.2500 0.5000 Sb
```

ii | Density functional theory data (GGA-PBE) for crystalline SbAsRu2 at its relaxed geometry.

Structure (POSCAR):
```
SbAsRu2
1.0
-2.8122 -4.5899 -2.6554
1.1864 -2.8588 -5.1426
2.0786 2.0325 5.2512
As Ru Sb
1 2 1
Direct
0.2125 0.7125 0.5000 As
0.7794 0.2794 0.5000 Ru
0.0499 0.0499 0.0000 Ru
0.4583 0.4583 0.0000 Sb
```

iii | Density functional theory data (GGA-PBE) for crystalline SbAsRu2 at its relaxed geometry.

Structure (POSCAR):
```
SbAsRu2
1.0
8.0234 -0.0181 -0.0107
7.4211 3.0502 -0.0107
7.4211 1.4569 2.6798
Ru As Sb
2 1 1
Direct
0.0060 0.0060 0.0060 Ru
0.4940 0.4940 0.4940 Ru
0.7500 0.7500 0.7500 As
0.2500 0.2500 0.2500 Sb
```

Q: Which of them is the least stable? A: i.

i | Density functional theory data (GGA-PBE) for crystalline SbAsRu2 at its relaxed geometry.

Structure (POSCAR):
```
SbAsRu2
1.0
0.0000 3.1875 3.1875
3.1875 0.0000 3.1875
3.1875 3.1875 0.0000
As Ru Sb
1 2 1
Direct
0.0000 0.0000 0.0000 As
0.7500 0.7500 0.7500 Ru
0.2500 0.2500 0.2500 Ru
0.5000 0.5000 0.5000 Sb
```

ii | Density functional theory data (GGA-PBE) for crystalline SbAsRu2 at its relaxed geometry.

Structure (POSCAR):
```
SbAsRu2
1.0
-2.2269 -3.8943 0.8897
1.3796 -2.6905 3.4313
-2.5437 -0.3667 3.7830
Sb As Ru
1 1 2
Direct
0.7500 0.7500 0.7500 Sb
0.5000 0.5000 0.5000 As
0.0000 0.0000 0.0000 Ru
0.2500 0.2500 0.2500 Ru
```

Q: Which of them is the least stable? A: ii.

i | Density functional theory data (GGA-PBE) for crystalline Sb3AsRu at its relaxed geometry.

Structure (POSCAR):
```
Sb3AsRu
1.0
5.0995 0.0000 0.0000
0.0000 5.0995 0.0000
0.0000 0.0000 5.0995
Ru Sb As
1 3 1
Direct
0.0000 0.0000 0.0000 Ru
0.0000 0.5000 0.0000 Sb
0.5000 0.0000 0.0000 Sb
0.0000 0.0000 0.5000 Sb
0.5000 0.5000 0.5000 As
```

ii | Density functional theory data (GGA-PBE) for crystalline Sb3AsRu at its relaxed geometry.

Structure (POSCAR):
```
Sb3AsRu
1.0
5.2212 0.0000 0.0000
0.0000 5.2212 0.0000
0.0000 0.0000 5.2212
Sb As Ru
3 1 1
Direct
0.5000 0.0000 0.0000 Sb
0.0000 0.0000 0.5000 Sb
0.0000 0.5000 0.0000 Sb
0.0000 0.0000 0.0000 As
0.5000 0.5000 0.5000 Ru
```

Q: Which of them is the least stable? A: ii.